# TiMnCrSi2 PBE-GGA optimized geometry
# - Total energy: -6.116 eV per atom
# - Formation energy (no corrections): 1.39 eV per atom
data_TiMnCrSi2
_chemical_formula_sum 'Ti1 Mn1 Cr1 Si2'
_space_group_name_H-M_alt 'P 1'
_space_group_IT_number 1
_cell_length_a 4.6141
_cell_length_b 3.9927
_cell_length_c 4.6141
_cell_angle_alpha 90.00
_cell_angle_beta 90.00
_cell_angle_gamma 90.00
loop_
_space_group_symop_operation_xyz
'x,y,z'
loop_
_atom_site_label
_atom_site_type_symbol
_atom_site_fract_x
_atom_site_fract_y
_atom_site_fract_z
Mn1 Mn 0.0000 0.5000 0.0000
Si1 Si 0.5000 0.0000 0.0000
Si2 Si 0.0000 0.0000 0.5000
Ti1 Ti 0.0000 0.0000 0.0000
Cr1 Cr 0.5000 0.5000 0.5000